Density functional theory data (PBE) for an optimized crystal structure of AcMg2In2Au2.

Cell: 4.689 4.689 9.372 Å, 75.51 75.51 60.00°
Fractional coordinates of all 7 atoms:
Au 0.442 0.442 0.673
Au 0.558 0.558 0.327
Mg 0.139 0.139 0.584
Mg 0.861 0.861 0.416
In 0.744 0.744 0.767
In 0.256 0.256 0.233
Ac 0.000 0.000 0.000

Space-group type: No. 166
Final energy, eV per cell: -22.51
Crystal system: trigonal